# Li2CeAlO4

Li2CeAlO4 after structural relaxation (PBE, the Alexandria database).

CIF file:
```
data_Li2CeAlO4
_chemical_formula_sum 'Li4 Ce2 Al2 O8'
_cell_length_a 3.190
_cell_length_b 6.273
_cell_length_c 9.518
_cell_angle_alpha 90.00
_cell_angle_beta 90.00
_cell_angle_gamma 104.73
_symmetry_space_group_name_H-M 'P 1'
_symmetry_Int_Tables_number 1
loop_
_symmetry_equiv_pos_as_xyz
'x,y,z'
loop_
_atom_site_label
_atom_site_type_symbol
_atom_site_fract_x
_atom_site_fract_y
_atom_site_fract_z
Li1 Li 0.402 0.804 0.534
Li2 Li 0.598 0.196 0.034
Li3 Li 0.598 0.196 0.466
Li4 Li 0.402 0.804 0.966
Ce1 Ce 0.073 0.147 0.750
Ce2 Ce 0.927 0.853 0.250
Al1 Al 0.790 0.580 0.750
Al2 Al 0.210 0.420 0.250
O1 O 0.314 0.629 0.122
O2 O 0.686 0.371 0.622
O3 O 0.686 0.371 0.878
O4 O 0.314 0.629 0.378
O5 O 0.000 0.000 0.500
O6 O 0.000 0.000 0.000
O7 O 0.370 0.739 0.750
O8 O 0.630 0.261 0.250
```

Calculated values
SG: Cmcm
DOS at the Fermi energy: 6.818 states/eV/cell
Volume: 92.1 Å³/f.u.
ΔE_f (raw): -19.78 eV/f.u.

=====

# Hf2ScHBr

Hf2ScHBr after structural relaxation (PBE, the Alexandria database).

CIF file:
```
data_Hf2ScHBr
_chemical_formula_sum 'Hf2 Sc1 H1 Br1'
_cell_length_a 5.566
_cell_length_b 3.386
_cell_length_c 5.566
_cell_angle_alpha 90.00
_cell_angle_beta 90.00
_cell_angle_gamma 90.00
_symmetry_space_group_name_H-M 'P 1'
_symmetry_Int_Tables_number 1
loop_
_symmetry_equiv_pos_as_xyz
'x,y,z'
loop_
_atom_site_label
_atom_site_type_symbol
_atom_site_fract_x
_atom_site_fract_y
_atom_site_fract_z
Sc1 Sc 0.000 0.000 0.000
H1 H 0.000 0.500 0.000
Hf1 Hf 0.000 0.000 0.500
Hf2 Hf 0.500 0.000 0.000
Br1 Br 0.500 0.500 0.500
```

Calculated values
SG: P4/mmm
DOS at the Fermi energy: 3.861 states/eV/cell
Volume: 104.9 Å³/f.u.
DFT total energy: -5.5244 eV per atom

=====

# Gd3HfO

Gd3HfO after structural relaxation (PBE, the Alexandria database).

CIF file:
```
data_Gd3HfO
_chemical_formula_sum 'Gd3 Hf1 O1'
_cell_length_a 4.869
_cell_length_b 4.869
_cell_length_c 4.869
_cell_angle_alpha 90.00
_cell_angle_beta 90.00
_cell_angle_gamma 90.00
_symmetry_space_group_name_H-M 'P 1'
_symmetry_Int_Tables_number 1
loop_
_symmetry_equiv_pos_as_xyz
'x,y,z'
loop_
_atom_site_label
_atom_site_type_symbol
_atom_site_fract_x
_atom_site_fract_y
_atom_site_fract_z
Gd1 Gd 0.000 0.500 0.000
Gd2 Gd 0.000 0.000 0.500
Gd3 Gd 0.500 0.000 0.000
Hf1 Hf 0.500 0.500 0.500
O1 O 0.000 0.000 0.000
```

Calculated values
SG: Pm-3m
DOS at the Fermi energy: 5.612 states/eV/cell
Volume: 115.4 Å³/f.u.
ΔE_f (raw): -5.14 eV/f.u.

=====

# ReTeOF2

ReTeOF2 after structural relaxation (PBE, the Alexandria database).

CIF file:
```
data_ReTeOF2
_chemical_formula_sum 'Re1 Te1 O1 F2'
_cell_length_a 4.754
_cell_length_b 4.754
_cell_length_c 4.116
_cell_angle_alpha 90.00
_cell_angle_beta 90.00
_cell_angle_gamma 90.00
_symmetry_space_group_name_H-M 'P 1'
_symmetry_Int_Tables_number 1
loop_
_symmetry_equiv_pos_as_xyz
'x,y,z'
loop_
_atom_site_label
_atom_site_type_symbol
_atom_site_fract_x
_atom_site_fract_y
_atom_site_fract_z
Re1 Re 0.500 0.500 0.500
Te1 Te 0.000 0.000 0.000
O1 O 0.000 0.000 0.500
F1 F 0.000 0.500 0.000
F2 F 0.500 0.000 0.000
```

Calculated values
SG: P4/mmm
DOS at the Fermi energy: 2.325 states/eV/cell
Distance to the lowest polymorph of the same formula: 75.3 kJ/mol of atoms
Volume: 93.0 Å³/f.u.
ΔE_f (raw): 1.21 eV/f.u.

=====

# LiScMn2V

LiScMn2V after structural relaxation (PBE, the Alexandria database).

CIF file:
```
data_LiScMn2V
_chemical_formula_sum 'Li1 Sc1 Mn2 V1'
_cell_length_a 4.490
_cell_length_b 4.477
_cell_length_c 4.490
_cell_angle_alpha 90.00
_cell_angle_beta 90.00
_cell_angle_gamma 90.00
_symmetry_space_group_name_H-M 'P 1'
_symmetry_Int_Tables_number 1
loop_
_symmetry_equiv_pos_as_xyz
'x,y,z'
loop_
_atom_site_label
_atom_site_type_symbol
_atom_site_fract_x
_atom_site_fract_y
_atom_site_fract_z
Sc1 Sc 0.000 0.000 0.000
Mn1 Mn 0.000 0.000 0.500
Mn2 Mn 0.500 0.000 0.000
Li1 Li 0.000 0.500 0.000
V1 V 0.500 0.500 0.500
```

Calculated values
SG: P4/mmm
DOS at the Fermi energy: 5.856 states/eV/cell
Volume: 90.2 Å³/f.u.
Energy of formation: 1318 meV per atom

=====

# Li5MgAu6

Li5MgAu6 after structural relaxation (PBE, the Alexandria database).

CIF file:
```
data_Li5MgAu6
_chemical_formula_sum 'Li5 Mg1 Au6'
_cell_length_a 4.467
_cell_length_b 6.361
_cell_length_c 7.158
_cell_angle_alpha 90.00
_cell_angle_beta 111.24
_cell_angle_gamma 90.00
_symmetry_space_group_name_H-M 'P 1'
_symmetry_Int_Tables_number 1
loop_
_symmetry_equiv_pos_as_xyz
'x,y,z'
loop_
_atom_site_label
_atom_site_type_symbol
_atom_site_fract_x
_atom_site_fract_y
_atom_site_fract_z
Mg1 Mg 0.000 0.000 0.000
Au1 Au 0.834 0.747 0.660
Au2 Au 0.834 0.253 0.660
Au3 Au 0.500 0.259 0.000
Au4 Au 0.500 0.741 0.000
Au5 Au 0.166 0.747 0.340
Au6 Au 0.166 0.253 0.340
Li1 Li 0.661 0.500 0.331
Li2 Li 0.336 0.000 0.668
Li3 Li 0.000 0.500 0.000
Li4 Li 0.664 0.000 0.332
Li5 Li 0.339 0.500 0.669
```

Calculated values
SG: P2/m
DOS at the Fermi energy: 2.274 states/eV/cell
Volume: 189.6 Å³/f.u.
Energy of formation: -556 meV per atom